# CeSb12Rh4 (PBE-GGA, relaxed)
# Density, Mg/m³: 7.95
# Formation energy (no corrections), eV/atom: -0.431
# Total magnetic moment, μB/cell: 3.38
# Total DFT energy (no corrections), eV/atom: -5.419
data_CeSb12Rh4
_chemical_formula_sum 'Ce2 Sb24 Rh8'
_cell_length_a 9.439
_cell_length_b 9.439
_cell_length_c 9.439
_cell_angle_alpha 90.00
_cell_angle_beta 90.00
_cell_angle_gamma 90.00
_symmetry_space_group_name_H-M 'I m -3'
_symmetry_Int_Tables_number 204
_symmetry_space_group_name_Hall '-I 2 2 3'
loop_
_atom_site_label
_atom_site_type_symbol
_atom_site_fract_x
_atom_site_fract_y
_atom_site_fract_z
_atom_site_occupancy
Ce1 Ce 0.000 0.000 0.000 1
Sb1 Sb 0.000 0.337 0.155 1
Rh1 Rh 0.250 0.250 0.250 1